Here is MgZr2MoO after structural relaxation from Alexandria via LeMat-Bulk. Energies are from PBE with a Hubbard U.

The energy is -28.6 eV/cell. Its total moment is 0.40 μB/f.u. Its space-group type is P4/mmm, No. 123.

Geometry as CIF:
```
data_MgZr2MoO
_space_group_name_H-M_alt 'P 1'
_space_group_IT_number 1
_cell_length_a 5.4272
_cell_length_b 5.4272
_cell_length_c 3.8091
_cell_angle_alpha 90.00
_cell_angle_beta 90.00
_cell_angle_gamma 90.00
loop_
_space_group_symop_operation_xyz
'x,y,z'
loop_
_atom_site_label
_atom_site_fract_x
_atom_site_fract_y
_atom_site_fract_z
Mg1 0.0000 0.0000 0.0000
Zr1 0.0000 0.5000 0.5000
Zr2 0.5000 0.0000 0.5000
Mo1 0.5000 0.5000 0.5000
O1 0.5000 0.5000 0.0000
```